Na2MoO: relaxed, GGA+U.

Unit cell a=6.9868 b=6.9868 c=6.9868 alpha=95.42 beta=95.42 gamma=144.21
Closest atoms and distances in Å follow each position.
Sites, in units of the cell vectors:
1 Na 0.3750 0.0360 0.1610  2 O 2.55
2 Na 0.7860 0.6250 0.6610  2 O 2.55
3 Na 0.8750 0.2140 0.8390  2 O 2.55
4 Na 0.9640 0.1250 0.3390  2 O 2.55
5 Mo 0.2500 0.7500 0.5000  2 O 2.15
6 Mo 0.5000 0.5000 0.0000  2 O 2.15
7 O 0.0000 0.0000 0.0000  2 Mo 2.15
8 O 0.7500 0.2500 0.5000  2 Mo 2.15

Output
Its total energy is -3.943 eV per atom. Its symmetry is I-42d, No. 122. The calculation puts the calculated density at 2.8 Mg/m³. As for the density of states at the Fermi level: 1.03 states/eV/cell.